The following is a PBE calculation of an optimized crystal structure of Tm2CuRe, from Alexandria via LeMat-Bulk.

The structure in CIF format:
```
data_Tm2CuRe
_cell_length_a 3.393
_cell_length_b 3.393
_cell_length_c 6.975
_cell_angle_alpha 90.00
_cell_angle_beta 90.00
_cell_angle_gamma 90.00
_symmetry_space_group_name_H-M 'P 4/m m m'
_symmetry_Int_Tables_number 123
_symmetry_space_group_name_Hall '-P 4 2'
loop_
_atom_site_label
_atom_site_fract_x
_atom_site_fract_y
_atom_site_fract_z
_atom_site_occupancy
Tm1 0.000 0.000 0.237 1
Cu1 0.500 0.500 0.500 1
Re1 0.500 0.500 0.000 1
```



The following is a PBE calculation of an optimized crystal structure of TmZrCuRe, from Alexandria via LeMat-Bulk.

The structure in CIF format:
```
data_TmZrCuRe
_cell_length_a 6.685
_cell_length_b 6.685
_cell_length_c 6.685
_cell_angle_alpha 90.00
_cell_angle_beta 90.00
_cell_angle_gamma 90.00
_symmetry_space_group_name_H-M 'F -4 3 m'
_symmetry_Int_Tables_number 216
_symmetry_space_group_name_Hall 'F -4 2 3'
loop_
_atom_site_label
_atom_site_fract_x
_atom_site_fract_y
_atom_site_fract_z
_atom_site_occupancy
Tm1 0.000 0.000 0.000 1
Zr1 0.000 0.000 0.500 1
Cu1 0.250 0.250 0.250 1
Re1 0.250 0.250 0.750 1
```



The following is a PBE calculation of an optimized crystal structure of UCuRe2, from Alexandria via LeMat-Bulk.

The structure in CIF format:
```
data_UCuRe2
_cell_length_a 4.124
_cell_length_b 4.124
_cell_length_c 3.804
_cell_angle_alpha 90.00
_cell_angle_beta 90.00
_cell_angle_gamma 90.00
_symmetry_space_group_name_H-M 'P 4/m m m'
_symmetry_Int_Tables_number 123
_symmetry_space_group_name_Hall '-P 4 2'
loop_
_atom_site_label
_atom_site_fract_x
_atom_site_fract_y
_atom_site_fract_z
_atom_site_occupancy
U1 0.000 0.000 0.000 1
Cu1 0.500 0.500 0.000 1
Re1 0.000 0.500 0.500 1
```



The following is a PBE calculation of an optimized crystal structure of VCuRe2, from Alexandria via LeMat-Bulk.

The structure in CIF format:
```
data_VCuRe2
_cell_length_a 3.797
_cell_length_b 3.797
_cell_length_c 3.829
_cell_angle_alpha 90.00
_cell_angle_beta 90.00
_cell_angle_gamma 90.00
_symmetry_space_group_name_H-M 'P 4/m m m'
_symmetry_Int_Tables_number 123
_symmetry_space_group_name_Hall '-P 4 2'
loop_
_atom_site_label
_atom_site_fract_x
_atom_site_fract_y
_atom_site_fract_z
_atom_site_occupancy
V1 0.000 0.000 0.000 1
Cu1 0.500 0.500 0.000 1
Re1 0.000 0.500 0.500 1
```

Calculated values
Energy above the most stable polymorph in this dataset = 0.000 eV per atom



The following is a PBE calculation of an optimized crystal structure of VCuRe3, from Alexandria via LeMat-Bulk.

The structure in CIF format:
```
data_VCuRe3
_cell_length_a 4.474
_cell_length_b 4.474
_cell_length_c 4.474
_cell_angle_alpha 90.00
_cell_angle_beta 90.00
_cell_angle_gamma 90.00
_symmetry_space_group_name_H-M 'P m -3 m'
_symmetry_Int_Tables_number 221
_symmetry_space_group_name_Hall '-P 4 2 3'
loop_
_atom_site_label
_atom_site_fract_x
_atom_site_fract_y
_atom_site_fract_z
_atom_site_occupancy
V1 0.000 0.000 0.000 1
Cu1 0.500 0.500 0.500 1
Re1 0.000 0.000 0.500 1
```

Calculated values
Energy above the most stable polymorph in this dataset = 0.000 eV per atom



The following is a PBE calculation of an optimized crystal structure of VCuRe2, from Alexandria via LeMat-Bulk.

The structure in CIF format:
```
data_VCuRe2
_cell_length_a 6.048
_cell_length_b 6.048
_cell_length_c 6.048
_cell_angle_alpha 90.00
_cell_angle_beta 90.00
_cell_angle_gamma 90.00
_symmetry_space_group_name_H-M 'F m -3 m'
_symmetry_Int_Tables_number 225
_symmetry_space_group_name_Hall '-F 4 2 3'
loop_
_atom_site_label
_atom_site_fract_x
_atom_site_fract_y
_atom_site_fract_z
_atom_site_occupancy
V1 0.000 0.000 0.000 1
Cu1 0.000 0.000 0.500 1
Re1 0.250 0.250 0.250 1
```

Calculated values
Energy above the most stable polymorph in this dataset = 0.153 eV per atom



The following is a PBE calculation of an optimized crystal structure of VCuRe2, from Alexandria via LeMat-Bulk.

The structure in CIF format:
```
data_VCuRe2
_cell_length_a 6.840
_cell_length_b 6.840
_cell_length_c 5.189
_cell_angle_alpha 90.00
_cell_angle_beta 90.00
_cell_angle_gamma 90.00
_symmetry_space_group_name_H-M 'I -4 2 d'
_symmetry_Int_Tables_number 122
_symmetry_space_group_name_Hall 'I -4 2bw'
loop_
_atom_site_label
_atom_site_fract_x
_atom_site_fract_y
_atom_site_fract_z
_atom_site_occupancy
V1 0.000 0.000 0.000 1
Cu1 0.000 0.000 0.500 1
Re1 0.237 0.250 0.125 1
```

Calculated values
Energy above the most stable polymorph in this dataset = 0.734 eV per atom



The following is a PBE calculation of an optimized crystal structure of VCu3Re, from Alexandria via LeMat-Bulk.

The structure in CIF format:
```
data_VCu3Re
_cell_length_a 4.607
_cell_length_b 4.607
_cell_length_c 4.607
_cell_angle_alpha 90.00
_cell_angle_beta 90.00
_cell_angle_gamma 90.00
_symmetry_space_group_name_H-M 'P m -3 m'
_symmetry_Int_Tables_number 221
_symmetry_space_group_name_Hall '-P 4 2 3'
loop_
_atom_site_label
_atom_site_fract_x
_atom_site_fract_y
_atom_site_fract_z
_atom_site_occupancy
V1 0.000 0.000 0.000 1
Cu1 0.000 0.500 0.500 1
Re1 0.500 0.500 0.500 1
```

Calculated values
Energy above the most stable polymorph in this dataset = 0.000 eV per atom



The following is a PBE calculation of an optimized crystal structure of VCuRe3, from Alexandria via LeMat-Bulk.

The structure in CIF format:
```
data_VCuRe3
_cell_length_a 4.404
_cell_length_b 4.404
_cell_length_c 4.404
_cell_angle_alpha 90.00
_cell_angle_beta 90.00
_cell_angle_gamma 90.00
_symmetry_space_group_name_H-M 'P m -3 m'
_symmetry_Int_Tables_number 221
_symmetry_space_group_name_Hall '-P 4 2 3'
loop_
_atom_site_label
_atom_site_fract_x
_atom_site_fract_y
_atom_site_fract_z
_atom_site_occupancy
V1 0.000 0.000 0.000 1
Cu1 0.500 0.500 0.500 1
Re1 0.000 0.500 0.500 1
```

Calculated values
Energy above the most stable polymorph in this dataset = 0.093 eV per atom



The following is a PBE calculation of an optimized crystal structure of Cu2ReW, from Alexandria via LeMat-Bulk.

The structure in CIF format:
```
data_Cu2ReW
_cell_length_a 2.7155
_cell_length_b 2.7155
_cell_length_c 26.7145
_cell_angle_alpha 90.00
_cell_angle_beta 90.00
_cell_angle_gamma 120.00
_symmetry_space_group_name_H-M 'R 3 m'
_symmetry_Int_Tables_number 160
_symmetry_space_group_name_Hall 'R 3 -2"'
loop_
_atom_site_label
_atom_site_fract_x
_atom_site_fract_y
_atom_site_fract_z
_atom_site_occupancy
Cu1 0.0000 0.0000 0.0000 1
Cu2 0.0000 0.0000 0.2562 1
Re1 0.0000 0.0000 0.7492 1
W1 0.0000 0.0000 0.5050 1
```



The following is a PBE calculation of an optimized crystal structure of CuReW, from Alexandria via LeMat-Bulk.

The structure in CIF format:
```
data_CuReW
_cell_length_a 2.626
_cell_length_b 4.113
_cell_length_c 8.112
_cell_angle_alpha 90.00
_cell_angle_beta 90.00
_cell_angle_gamma 90.00
_symmetry_space_group_name_H-M 'I m m 2'
_symmetry_Int_Tables_number 44
_symmetry_space_group_name_Hall 'I 2 -2'
loop_
_atom_site_label
_atom_site_fract_x
_atom_site_fract_y
_atom_site_fract_z
_atom_site_occupancy
Cu1 0.000 0.000 0.000 1
Re1 0.000 0.000 0.338 1
W1 0.000 0.000 0.666 1
```

Calculated values
Energy above the most stable polymorph in this dataset = 0.033 eV per atom



The following is a PBE calculation of an optimized crystal structure of CuRe3W, from Alexandria via LeMat-Bulk.

The structure in CIF format:
```
data_CuRe3W
_cell_length_a 4.388
_cell_length_b 4.388
_cell_length_c 4.388
_cell_angle_alpha 90.00
_cell_angle_beta 90.00
_cell_angle_gamma 90.00
_symmetry_space_group_name_H-M 'P m -3 m'
_symmetry_Int_Tables_number 221
_symmetry_space_group_name_Hall '-P 4 2 3'
loop_
_atom_site_label
_atom_site_fract_x
_atom_site_fract_y
_atom_site_fract_z
_atom_site_occupancy
Cu1 0.000 0.000 0.000 1
Re1 0.000 0.000 0.500 1
W1 0.500 0.500 0.500 1
```

Calculated values
Energy above the most stable polymorph in this dataset = 0.000 eV per atom



The following is a PBE calculation of an optimized crystal structure of CuReW, from Alexandria via LeMat-Bulk.

The structure in CIF format:
```
data_CuReW
_cell_length_a 2.673
_cell_length_b 2.673
_cell_length_c 12.210
_cell_angle_alpha 90.00
_cell_angle_beta 90.00
_cell_angle_gamma 90.00
_symmetry_space_group_name_H-M 'I 4 m m'
_symmetry_Int_Tables_number 107
_symmetry_space_group_name_Hall 'I 4 -2'
loop_
_atom_site_label
_atom_site_fract_x
_atom_site_fract_y
_atom_site_fract_z
_atom_site_occupancy
Cu1 0.000 0.000 0.000 1
Re1 0.000 0.000 0.658 1
W1 0.000 0.000 0.338 1
```

Calculated values
Energy above the most stable polymorph in this dataset = 0.238 eV per atom



The following is a PBE calculation of an optimized crystal structure of Cu2ReW, from Alexandria via LeMat-Bulk.

The structure in CIF format:
```
data_Cu2ReW
_cell_length_a 2.617
_cell_length_b 2.617
_cell_length_c 8.095
_cell_angle_alpha 90.00
_cell_angle_beta 90.00
_cell_angle_gamma 90.00
_symmetry_space_group_name_H-M 'P 4/m m m'
_symmetry_Int_Tables_number 123
_symmetry_space_group_name_Hall '-P 4 2'
loop_
_atom_site_label
_atom_site_fract_x
_atom_site_fract_y
_atom_site_fract_z
_atom_site_occupancy
Cu1 0.000 0.000 0.246 1
Re1 0.500 0.500 0.000 1
W1 0.500 0.500 0.500 1
```



The following is a PBE calculation of an optimized crystal structure of CuReW, from Alexandria via LeMat-Bulk.

The structure in CIF format:
```
data_CuReW
_cell_length_a 4.3850
_cell_length_b 4.3850
_cell_length_c 2.6427
_cell_angle_alpha 90.00
_cell_angle_beta 90.00
_cell_angle_gamma 120.00
_symmetry_space_group_name_H-M 'P 3 m 1'
_symmetry_Int_Tables_number 156
_symmetry_space_group_name_Hall 'P 3 -2"'
loop_
_atom_site_label
_atom_site_fract_x
_atom_site_fract_y
_atom_site_fract_z
_atom_site_occupancy
Cu1 0.0000 0.0000 0.0000 1
Re1 0.6667 0.3333 0.3579 1
W1 0.3333 0.6667 0.6554 1
```

Calculated values
Energy above the most stable polymorph in this dataset = 0.000 eV per atom



| no. | energy relative to the elements (meV/atom) |
| --- | --- |
| 1 | -50 |
| 2 | -126 |
| 3 | 126 |
| 4 | 73 |
| 5 | 1836 |
| 6 | 225 |
| 7 | 806 |
| 8 | 1642 |
| 9 | 1930 |
| 10 | 282 |
| 11 | 198 |
| 12 | 1928 |
| 13 | 403 |
| 14 | 354 |
| 15 | 165 |